(1)
This record from Alexandria describes NbAgO3 after structural relaxation. The functional is PBE.

Geometry as CIF:
```
data_NbAgO3
_chemical_formula_sum 'Nb4 Ag4 O12'
_cell_length_a 7.8324
_cell_length_b 11.2453
_cell_length_c 3.1137
_cell_angle_alpha 90.00
_cell_angle_beta 90.00
_cell_angle_gamma 90.00
_space_group_name_H-M_alt 'C m m m'
_space_group_IT_number 65
_space_group_name_Hall '-C 2 2'
loop_
_atom_site_label
_atom_site_type_symbol
_atom_site_fract_x
_atom_site_fract_y
_atom_site_fract_z
Nb1 Nb 0.2500 0.2500 0.0000
Ag1 Ag 0.0000 0.0000 0.5000
Ag2 Ag 0.0000 0.5000 0.5000
O1 O 0.0000 0.2487 0.0000
O2 O 0.2490 0.3694 0.5000
```

Computed properties:
Calculated total energy in eV/atom: -7.294
Raw formation energy in eV per atom: -1.735

=====

(2)
This record from Alexandria describes NbAg3O4 after structural relaxation. The functional is PBE.

Geometry as CIF:
```
data_NbAg3O4
_chemical_formula_sum 'Nb2 Ag6 O8'
_cell_length_a 7.3561
_cell_length_b 6.7437
_cell_length_c 5.6859
_cell_angle_alpha 90.00
_cell_angle_beta 90.00
_cell_angle_gamma 90.00
_space_group_name_H-M_alt 'P m n 21'
_space_group_IT_number 31
loop_
_space_group_symop_operation_xyz
'x,y,z'
'-x+1/2,-y,z+1/2'
'-x,y,z'
'x+1/2,-y,z+1/2'
loop_
_atom_site_label
_atom_site_type_symbol
_atom_site_fract_x
_atom_site_fract_y
_atom_site_fract_z
Nb1 Nb 0.0000 0.2149 0.0000
Ag1 Ag 0.0000 0.6792 0.5751
Ag2 Ag 0.1945 0.6871 0.0583
O1 O 0.0000 0.2354 0.6747
O2 O 0.0000 0.9477 0.0828
O3 O 0.2133 0.3432 0.1195
```

Computed properties:
Calculated total energy in eV/atom: -5.898
Raw formation energy in eV per atom: -1.091

=====

(3)
This record from Alexandria describes NbAgO4 after structural relaxation. The functional is PBE.

Geometry as CIF:
```
data_NbAgO4
_chemical_formula_sum 'Nb1 Ag1 O4'
_cell_length_a 3.5521
_cell_length_b 3.5521
_cell_length_c 5.4219
_cell_angle_alpha 90.00
_cell_angle_beta 90.00
_cell_angle_gamma 90.00
_space_group_name_H-M_alt 'P 4/m m m'
_space_group_IT_number 123
_space_group_name_Hall '-P 4 2'
loop_
_atom_site_label
_atom_site_type_symbol
_atom_site_fract_x
_atom_site_fract_y
_atom_site_fract_z
Nb1 Nb 0.0000 0.0000 0.0000
Ag1 Ag 0.5000 0.5000 0.5000
O1 O 0.0000 0.5000 0.2197
```

Computed properties:
N(E_F) in states/eV per cell: 4.13
Calculated total energy in eV/atom: -6.616
Raw formation energy in eV per atom: -1.157

=====

(4)
This record from Alexandria describes Nb2AgO5 after structural relaxation. The functional is PBE.

Geometry as CIF:
```
data_Nb2AgO5
_chemical_formula_sum 'Nb8 Ag4 O20'
_cell_length_a 3.8643
_cell_length_b 10.6191
_cell_length_c 10.6131
_cell_angle_alpha 90.00
_cell_angle_beta 90.00
_cell_angle_gamma 90.00
_space_group_name_H-M_alt 'C m c m'
_space_group_IT_number 63
_space_group_name_Hall '-C 2c 2'
loop_
_atom_site_label
_atom_site_type_symbol
_atom_site_fract_x
_atom_site_fract_y
_atom_site_fract_z
Nb1 Nb 0.0000 0.1359 0.0706
Ag1 Ag 0.0000 0.4124 0.2500
O1 O 0.0000 0.0394 0.6127
O2 O 0.0000 0.1856 0.2500
O3 O 0.0000 0.3168 0.5434
```

Computed properties:
N(E_F) in states/eV per cell: 12.82
Calculated total energy in eV/atom: -7.986
Raw formation energy in eV per atom: -2.014

=====

(5)
This record from Alexandria describes NbAgO2 after structural relaxation. The functional is PBE.

Geometry as CIF:
```
data_NbAgO2
_chemical_formula_sum 'Nb4 Ag4 O8'
_cell_length_a 6.2273
_cell_length_b 6.2273
_cell_length_c 8.7887
_cell_angle_alpha 90.00
_cell_angle_beta 90.00
_cell_angle_gamma 90.00
_space_group_name_H-M_alt 'I 41/a m d'
_space_group_IT_number 141
loop_
_space_group_symop_operation_xyz
'x,y,z'
'-x,-y,-z'
'-y+1/4,x+3/4,z+1/4'
'y+1/4,-x+3/4,-z+1/4'
'-x+1/2,-y,z+1/2'
'x+1/2,y,-z+1/2'
'y+1/4,-x+1/4,z+3/4'
'-y+1/4,x+1/4,-z+3/4'
'x,-y,-z'
'-x,y,z'
'-y+1/4,-x+1/4,-z+3/4'
'y+1/4,x+1/4,z+3/4'
'-x+1/2,y,-z+1/2'
'x+1/2,-y,z+1/2'
'y+1/4,x+3/4,-z+1/4'
'-y+1/4,-x+3/4,z+1/4'
'x+1/2,y+1/2,z+1/2'
'-x+1/2,-y+1/2,-z+1/2'
'-y+3/4,x+1/4,z+3/4'
'y+3/4,-x+1/4,-z+3/4'
'-x,-y+1/2,z'
'x,y+1/2,-z'
'y+3/4,-x+3/4,z+1/4'
'-y+3/4,x+3/4,-z+1/4'
'x+1/2,-y+1/2,-z+1/2'
'-x+1/2,y+1/2,z+1/2'
'-y+3/4,-x+3/4,-z+1/4'
'y+3/4,x+3/4,z+1/4'
'-x,y+1/2,-z'
'x,-y+1/2,z'
'y+3/4,x+1/4,-z+3/4'
'-y+3/4,-x+1/4,z+3/4'
loop_
_atom_site_label
_atom_site_type_symbol
_atom_site_fract_x
_atom_site_fract_y
_atom_site_fract_z
Nb1 Nb 0.0000 0.2500 0.3750
Ag1 Ag 0.0000 0.2500 0.8750
O1 O 0.0000 0.0000 0.5000
```

Computed properties:
N(E_F) in states/eV per cell: 15.96
Calculated total energy in eV/atom: -6.967
Raw formation energy in eV per atom: -1.258

=====

(6)
This record from Alexandria describes Nb2AgO after structural relaxation. The functional is PBE.

Geometry as CIF:
```
data_Nb2AgO
_chemical_formula_sum 'Nb8 Ag4 O4'
_cell_length_a 5.0804
_cell_length_b 5.0804
_cell_length_c 11.7836
_cell_angle_alpha 90.00
_cell_angle_beta 90.00
_cell_angle_gamma 90.00
_space_group_name_H-M_alt 'I -4 2 d'
_space_group_IT_number 122
_space_group_name_Hall 'I -4 2bw'
loop_
_atom_site_label
_atom_site_type_symbol
_atom_site_fract_x
_atom_site_fract_y
_atom_site_fract_z
Nb1 Nb 0.1274 0.2500 0.1250
Ag1 Ag 0.0000 0.0000 0.5000
O1 O 0.0000 0.0000 0.0000
```

Computed properties:
N(E_F) in states/eV per cell: 16.24
Calculated total energy in eV/atom: -7.157
Raw formation energy in eV per atom: -0.169

=====

(7)
This record from Alexandria describes NbAgO3 after structural relaxation. The functional is PBE.

Geometry as CIF:
```
data_NbAgO3
_chemical_formula_sum 'Nb8 Ag8 O24'
_cell_length_a 5.6759
_cell_length_b 5.7447
_cell_length_c 15.7475
_cell_angle_alpha 90.00
_cell_angle_beta 90.00
_cell_angle_gamma 90.00
_space_group_name_H-M_alt 'P b c m'
_space_group_IT_number 57
loop_
_space_group_symop_operation_xyz
'x,y,z'
'-x,-y,-z'
'-x,-y,z+1/2'
'x,y,-z+1/2'
'x,-y+1/2,-z'
'-x,y+1/2,z'
'-x,y+1/2,-z+1/2'
'x,-y+1/2,z+1/2'
loop_
_atom_site_label
_atom_site_type_symbol
_atom_site_fract_x
_atom_site_fract_y
_atom_site_fract_z
Nb1 Nb 0.2418 0.2137 0.1251
Ag1 Ag 0.2605 0.7500 0.0000
Ag2 Ag 0.2657 0.7179 0.2500
O1 O 0.0424 0.5443 0.1103
O2 O 0.1974 0.2244 0.7500
O3 O 0.3104 0.2500 0.0000
O4 O 0.4515 0.5397 0.6401
```

Computed properties:
N(E_F) in states/eV per cell: 0.00
Calculated total energy in eV/atom: -7.325
Raw formation energy in eV per atom: -1.766

=====

(8)
This record from Alexandria describes NbAgO3 after structural relaxation. The functional is PBE.

Geometry as CIF:
```
data_NbAgO3
_chemical_formula_sum 'Nb2 Ag2 O6'
_cell_length_a 5.6172
_cell_length_b 5.6172
_cell_length_c 4.0207
_cell_angle_alpha 90.00
_cell_angle_beta 90.00
_cell_angle_gamma 90.00
_space_group_name_H-M_alt 'P 4/m b m'
_space_group_IT_number 127
_space_group_name_Hall '-P 4 2ab'
loop_
_atom_site_label
_atom_site_type_symbol
_atom_site_fract_x
_atom_site_fract_y
_atom_site_fract_z
Nb1 Nb 0.0000 0.0000 0.0000
Ag1 Ag 0.0000 0.5000 0.5000
O1 O 0.0000 0.0000 0.5000
O2 O 0.1981 0.3019 0.0000
```

Computed properties:
Calculated total energy in eV/atom: -7.310
Raw formation energy in eV per atom: -1.751

=====

(9)
This record from Alexandria describes NbAgO2 after structural relaxation. The functional is PBE.

Geometry as CIF:
```
data_NbAgO2
_chemical_formula_sum 'Nb12 Ag12 O24'
_cell_length_a 7.2743
_cell_length_b 8.3574
_cell_length_c 11.9410
_cell_angle_alpha 90.00
_cell_angle_beta 90.00
_cell_angle_gamma 90.00
_space_group_name_H-M_alt 'C m m m'
_space_group_IT_number 65
_space_group_name_Hall '-C 2 2'
loop_
_atom_site_label
_atom_site_type_symbol
_atom_site_fract_x
_atom_site_fract_y
_atom_site_fract_z
Nb1 Nb 0.2500 0.2500 0.0000
Nb2 Nb 0.2500 0.2500 0.3325
Ag1 Ag 0.0000 0.0000 0.1280
Ag2 Ag 0.0000 0.0000 0.5000
Ag3 Ag 0.0000 0.5000 0.2642
Ag4 Ag 0.0000 0.5000 0.5000
O1 O 0.0000 0.1568 0.3294
O2 O 0.2263 0.5000 0.0000
O3 O 0.2500 0.2500 0.1646
O4 O 0.2500 0.2500 0.5000
```

Computed properties:
N(E_F) in states/eV per cell: 22.21
Calculated total energy in eV/atom: -6.944
Raw formation energy in eV per atom: -1.235

=====

(10)
This record from Alexandria describes Nb3AgO8 after structural relaxation. The functional is PBE.

Geometry as CIF:
```
data_Nb3AgO8
_chemical_formula_sum 'Nb6 Ag2 O16'
_cell_length_a 13.2698
_cell_length_b 3.8744
_cell_length_c 7.4368
_cell_angle_alpha 90.00
_cell_angle_beta 106.70
_cell_angle_gamma 90.00
_space_group_name_H-M_alt 'C 1 m 1'
_space_group_IT_number 8
loop_
_space_group_symop_operation_xyz
'x,y,z'
'x,-y,z'
'x+1/2,y+1/2,z'
'x+1/2,-y+1/2,z'
loop_
_atom_site_label
_atom_site_type_symbol
_atom_site_fract_x
_atom_site_fract_y
_atom_site_fract_z
Nb1 Nb 0.0000 0.0000 0.0000
Nb2 Nb 0.0677 0.0000 0.5495
Nb3 Nb 0.2751 0.5000 0.5432
Ag1 Ag 0.2529 0.5000 0.0200
O1 O 0.0026 0.5000 0.0365
O2 O 0.0395 0.0000 0.2911
O3 O 0.0963 0.0000 0.8553
O4 O 0.1149 0.5000 0.5824
O5 O 0.2320 0.5000 0.2916
O6 O 0.2416 0.0000 0.5807
O7 O 0.3577 0.5000 0.8453
O8 O 0.4245 0.5000 0.5440
```

Computed properties:
Distance to the lowest polymorph of the same formula in meV/atom: 16
N(E_F) in states/eV per cell: 0.00
Calculated total energy in eV/atom: -8.244
Raw formation energy in eV per atom: -2.183

=====

(11)
This record from Alexandria describes Nb3AgO after structural relaxation. The functional is PBE.

Geometry as CIF:
```
data_Nb3AgO
_chemical_formula_sum 'Nb3 Ag1 O1'
_cell_length_a 4.9191
_cell_length_b 4.9191
_cell_length_c 4.9191
_cell_angle_alpha 90.00
_cell_angle_beta 90.00
_cell_angle_gamma 90.00
_space_group_name_H-M_alt 'P m -3 m'
_space_group_IT_number 221
_space_group_name_Hall '-P 4 2 3'
loop_
_atom_site_label
_atom_site_type_symbol
_atom_site_fract_x
_atom_site_fract_y
_atom_site_fract_z
Nb1 Nb 0.0000 0.0000 0.5000
Ag1 Ag 0.0000 0.0000 0.0000
O1 O 0.5000 0.5000 0.5000
```

Computed properties:
Distance to the lowest polymorph of the same formula in meV/atom: 2779
N(E_F) in states/eV per cell: 3.63
Calculated total energy in eV/atom: -5.344
Raw formation energy in eV per atom: 2.260

=====

(12)
This record from Alexandria describes Nb3AgO8 after structural relaxation. The functional is PBE.

Geometry as CIF:
```
data_Nb3AgO8
_chemical_formula_sum 'Nb12 Ag4 O32'
_cell_length_a 7.5591
_cell_length_b 10.4702
_cell_length_c 7.1424
_cell_angle_alpha 90.00
_cell_angle_beta 90.00
_cell_angle_gamma 90.00
_space_group_name_H-M_alt 'I b a m'
_space_group_IT_number 72
_space_group_name_Hall '-I 2 2c'
loop_
_atom_site_label
_atom_site_type_symbol
_atom_site_fract_x
_atom_site_fract_y
_atom_site_fract_z
Nb1 Nb 0.0000 0.0000 0.2500
Nb2 Nb 0.2424 0.2668 0.0000
Ag1 Ag 0.0000 0.5000 0.2500
O1 O 0.0130 0.3341 0.0000
O2 O 0.1080 0.0752 0.5000
O3 O 0.1918 0.1421 0.1998
```

Computed properties:
Distance to the lowest polymorph of the same formula in meV/atom: 0
Calculated total energy in eV/atom: -8.260
Raw formation energy in eV per atom: -2.200